## YMo2O (GGA+U)

Data for YMo2O after structural relaxation.

Cell and atoms, written as CIF:
```
data_YMo2O
_cell_length_a 6.532
_cell_length_b 6.532
_cell_length_c 9.262
_cell_angle_alpha 90.00
_cell_angle_beta 90.00
_cell_angle_gamma 90.00
_symmetry_space_group_name_H-M 'I -4 2 d'
_symmetry_Int_Tables_number 122
_symmetry_space_group_name_Hall 'I -4 2bw'
loop_
_atom_site_label
_atom_site_type_symbol
_atom_site_fract_x
_atom_site_fract_y
_atom_site_fract_z
Y1 Y 0.000 0.000 0.000
Mo1 Mo 0.083 0.250 0.625
O1 O 0.000 0.000 0.500
```

Calculated values
* raw total energy: -6.166 eV/atom